Computed, not measured: a geometry-optimized LaTcSb4 structure at the PBE level of DFT.

Values from the calculation:
Raw formation energy = 0.400 eV per atom

abc: 8.7358 8.7358 8.7358
angles: 90.00 90.00 90.00
Last column: nearest neighbours and their distance in Å.
Space group F-43m (No. 216)
One atom of each set of equivalent atoms:
La (0.0000, 0.0000, 0.0000) (multiplicity 4)  12 Sb 3.62, 4 Tc 3.78
Tc (0.2500, 0.2500, 0.2500) (multiplicity 4)  12 Sb 3.62, 4 La 3.78
Sb (0.1242, 0.1242, 0.6242) (multiplicity 16)  6 Sb 3.07-3.11

---

Computed, not measured: a geometry-optimized HoThS2 structure at the PBE level of DFT.

Values from the calculation:
Energy above the most stable polymorph in this dataset = 95 meV/atom
Raw formation energy = -1.807 eV per atom

abc: 3.8406 3.8406 21.1925
angles: 90.00 90.00 120.00
Last column: nearest neighbours and their distance in Å.
Space group R3m (No. 160, hexagonal axes)
One atom of each set of equivalent atoms:
Ho (0.0000, 0.0000, 0.0000) (multiplicity 3)  6 S 2.71-2.80
Th (0.0000, 0.0000, 0.8260) (multiplicity 3)  6 S 2.87-2.97
S (0.0000, 0.0000, 0.4068) (multiplicity 3)  3 Ho 2.71, 3 Th 2.87
S (0.0000, 0.0000, 0.5860) (multiplicity 3)  3 Ho 2.80, 3 Th 2.97

---

Computed, not measured: a geometry-optimized In2IrRu structure at the PBE level of DFT.

Values from the calculation:
Calculated formation energy = 0.287 eV per atom

abc: 3.1328 4.4315 5.1166
angles: 90.00 90.00 90.00
Last column: nearest neighbours and their distance in Å.
Space group Pmmm (No. 47)
One atom of each set of equivalent atoms:
In (0.0000, 0.0000, 0.0000) (multiplicity 1)  4 Ru 2.71, 4 In 3.00
In (0.5000, 0.0000, 0.5000) (multiplicity 1)  4 Ir 2.71, 4 In 3.00
Ir (0.0000, 0.5000, 0.5000) (multiplicity 1)  4 In 2.71, 4 Ru 3.00
Ru (0.5000, 0.5000, 0.0000) (multiplicity 1)  4 In 2.71, 4 Ir 3.00

---

Computed, not measured: a geometry-optimized MoI structure at the PBE level of DFT.

Values from the calculation:
Energy above the most stable polymorph in this dataset = 0 meV/atom
Raw formation energy = 0.253 eV per atom

abc: 11.3785 11.3785 3.4049
angles: 90.00 90.00 90.00
Last column: nearest neighbours and their distance in Å.
Space group P4/m (No. 83)
One atom of each set of equivalent atoms:
Mo (0.0733, 0.3871, 0.0000) (multiplicity 4)  2 Mo 2.52, 1 I 2.79
Mo (0.0892, 0.5922, 0.5000) (multiplicity 4)  2 Mo 2.52
I (0.1706, 0.1983, 0.5000) (multiplicity 4)  3 Mo 2.96-2.97
I (0.2826, 0.5149, 0.0000) (multiplicity 4)  3 Mo 2.79-2.92

---

Computed, not measured: a geometry-optimized Tl2IrW structure at the PBE level of DFT.

Values from the calculation:
Energy above the most stable polymorph in this dataset = 734 meV/atom
Calculated formation energy = 1.107 eV per atom

abc: 4.1943 4.1943 8.7617
angles: 90.00 90.00 90.00
Last column: nearest neighbours and their distance in Å.
Space group I4/mmm (No. 139)
One atom of each set of equivalent atoms:
Tl (0.0000, 0.5000, 0.2500) (multiplicity 4)  4 Tl 2.97, 4 W 3.03, 4 Ir 3.03
Ir (0.0000, 0.0000, 0.0000) (multiplicity 2)  4 W 2.97, 8 Tl 3.03
W (0.0000, 0.0000, 0.5000) (multiplicity 2)  4 Ir 2.97, 8 Tl 3.03

---

Computed, not measured: a geometry-optimized SmTmInCu structure at the PBE level of DFT.

Values from the calculation:
Calculated formation energy = -0.293 eV per atom

abc: 7.3317 7.3317 7.3317
angles: 90.00 90.00 90.00
Last column: nearest neighbours and their distance in Å.
Space group F-43m (No. 216)
One atom of each set of equivalent atoms:
Sm (0.0000, 0.0000, 0.0000) (multiplicity 4)  4 In 3.17, 4 Cu 3.17
Tm (0.0000, 0.0000, 0.5000) (multiplicity 4)  4 In 3.17, 4 Cu 3.17
In (0.2500, 0.2500, 0.7500) (multiplicity 4)  4 Tm 3.17, 4 Sm 3.17
Cu (0.2500, 0.2500, 0.2500) (multiplicity 4)  4 Tm 3.17, 4 Sm 3.17

---

Computed, not measured: a geometry-optimized AlRh2 structure at the PBE level of DFT.

Values from the calculation:
Calculated formation energy = -0.490 eV per atom

abc: 6.3309 6.3309 3.7468
angles: 90.00 90.00 120.00
Last column: nearest neighbours and their distance in Å.
Space group P-62m (No. 189)
One atom of each set of equivalent atoms:
Al (0.0000, 0.0000, 0.0000) (multiplicity 1)  9 Rh 2.46-2.60
Al (0.3333, 0.6667, 0.5000) (multiplicity 2)  9 Rh 2.41-2.68
Rh (0.0000, 0.2530, 0.5000) (multiplicity 3)  4 Al 2.41-2.46
Rh (0.0000, 0.5900, 0.0000) (multiplicity 3)  5 Al 2.60-2.68, 2 Rh 2.84

---

Computed, not measured: a geometry-optimized Li2TaTl3Se6 structure at the PBE level of DFT.

Values from the calculation:
Raw formation energy = -0.629 eV per atom

abc: 7.0316 12.1806 7.3663
angles: 90.00 108.89 90.00
Last column: nearest neighbours and their distance in Å.
Space group C2/m (No. 12)
One atom of each set of equivalent atoms:
Li (0.0000, 0.1654, 0.0000) (multiplicity 4)  6 Se 2.80-2.83
Ta (0.0000, 0.5000, 0.0000) (multiplicity 2)  6 Se 2.59-2.61
Tl (0.0000, 0.0000, 0.5000) (multiplicity 2)  6 Se 3.06-3.26
Tl (0.0000, 0.3374, 0.5000) (multiplicity 4)  6 Se 3.03-3.28
Se (0.2216, 0.3454, 0.2045) (multiplicity 8)  1 Ta 2.59, 2 Li 2.83
Se (0.2420, 0.5000, 0.7959) (multiplicity 4)  1 Ta 2.61, 2 Li 2.80

---

Computed, not measured: a geometry-optimized CdPPt2 structure at the PBE level of DFT.

Values from the calculation:
Energy above the most stable polymorph in this dataset = 48 meV/atom
Calculated formation energy = -0.210 eV per atom

abc: 6.1715 3.5245 6.8869
angles: 90.00 106.79 90.00
Last column: nearest neighbours and their distance in Å.
Space group C2/m (No. 12)
One atom of each set of equivalent atoms:
Cd (0.0000, 0.0000, 0.0000) (multiplicity 2)  6 Pt 2.87-2.88
P (0.0000, 0.5000, 0.5000) (multiplicity 2)  6 Pt 2.41
Pt (0.2312, 0.0000, 0.6931) (multiplicity 4)  3 P 2.41

---

Computed, not measured: a geometry-optimized Pm2Ag6Pb structure at the PBE level of DFT.

Values from the calculation:
Calculated formation energy = -0.174 eV per atom

abc: 12.5342 5.8871 5.6553
angles: 90.00 97.95 90.00
Last column: nearest neighbours and their distance in Å.
Space group C2/m (No. 12)
One atom of each set of equivalent atoms:
Pm (0.1509, 0.0000, 0.1589) (multiplicity 4)  10 Ag 3.15-3.52
Ag (0.0988, 0.2436, 0.6486) (multiplicity 8)  5 Ag 2.79-3.02, 1 Pb 2.91
Ag (0.2085, 0.5000, 0.3277) (multiplicity 4)  4 Ag 2.80-2.86, 1 Pb 2.99
Pb (0.0000, 0.5000, 0.0000) (multiplicity 2)  6 Ag 2.91-2.99

---

Computed, not measured: a geometry-optimized Tm3GaSi2Pt9 structure at the PBE level of DFT.

Values from the calculation:
Raw formation energy = -0.741 eV per atom

abc: 6.3249 6.3249 8.9674
angles: 90.00 90.00 120.00
Last column: nearest neighbours and their distance in Å.
Space group P-3m1 (No. 164)
One atom of each set of equivalent atoms:
Tm (0.0000, 0.0000, 0.0000) (multiplicity 1)  12 Pt 2.92-3.16
Tm (0.3333, 0.6667, 0.7341) (multiplicity 2)  9 Pt 3.00-3.17
Ga (0.0000, 0.0000, 0.5000) (multiplicity 1)  6 Pt 2.55
Si (0.3333, 0.6667, 0.1826) (multiplicity 2)  6 Pt 2.25-2.45
Pt (0.0000, 0.5000, 0.0000) (multiplicity 3)  2 Si 2.45
Pt (0.1423, 0.2847, 0.2754) (multiplicity 6)  1 Si 2.25

---

The calculation returns the following M_tot values, one per record and in order: 0.475; 0.000; 0.000; 0.000; 0.000; 0.000; 0.000; 0.000; 0.000; 0.000; 0.000 μB per atom.